(1)
{
  "formula": "POs",
  "functional": "PBE",
  "state": "relaxed",
  "e_tot_ev_per_cell": -32.896,
  "dos_ef_per_ev_fu": 1.1,
  "formation_energy_kcal_per_mol_atoms": 2.21,
  "sg": "P-3m1, No. 164",
  "lattice": [[2.923, 0.000, 0.000], [-1.462, 2.532, 0.000], [0.000, 0.000, 7.827]],
  "species": ["P", "P", "Os", "Os"],
  "frac_coords": [[0.333, 0.667, 0.144], [0.667, 0.333, 0.856], [0.333, 0.667, 0.643], [0.667, 0.333, 0.357]]
}

(2)
{
  "formula": "PrZnBi2O6",
  "functional": "PBE",
  "state": "relaxed",
  "e_tot_ev_per_cell": -120.559,
  "raw_formation_energy_ev_per_atom": -1.671,
  "polymorph_energy_mev_per_atom": 0,
  "dos_ef_per_ev_fu": 3.1,
  "sg": "Pmn2_1, No. 31",
  "lattice": [[8.621, 0.000, 0.000], [0.000, 6.495, 0.000], [0.000, 0.000, 5.715]],
  "species": ["Pr", "Pr", "Zn", "Zn", "Bi", "Bi", "Bi", "Bi", "O", "O", "O", "O", "O", "O", "O", "O", "O", "O", "O", "O"],
  "frac_coords": [[0.000, 0.168, 0.000], [0.500, 0.832, 0.500], [0.000, 0.905, 0.490], [0.500, 0.095, 0.990], [0.241, 0.719, 0.968], [0.259, 0.281, 0.468], [0.741, 0.281, 0.468], [0.759, 0.719, 0.968], [0.000, 0.236, 0.592], [0.000, 0.811, 0.814], [0.174, 0.960, 0.269], [0.185, 0.415, 0.123], [0.315, 0.585, 0.623], [0.326, 0.040, 0.769], [0.500, 0.189, 0.314], [0.500, 0.764, 0.092], [0.674, 0.040, 0.769], [0.685, 0.585, 0.623], [0.815, 0.415, 0.123], [0.826, 0.960, 0.269]]
}